No. 1
A plane-wave DFT calculation with SCAN was carried out for a crystal of MgV2O4 relaxed with PBEsol.

DOS at the Fermi energy	6.88	states/eV per cell
ρ	4.34	Mg/m³
final energy	-11.99	eV/atom
energy relative to the lowest polymorph listed for this composition	0.35	eV/f.u.
magnetization	4.0	μB/f.u.

Unit cell a=5.920 b=5.920 c=5.920 alpha=121.47 beta=119.63 gamma=89.05
Fractional coordinates of all 14 atoms:
Mg 0.000 0.000 0.000
Mg 0.500 0.000 0.500
V 0.000 0.000 0.500
V 0.000 0.500 0.000
V 0.373 0.623 0.750
V 0.627 0.377 0.250
O 0.237 0.233 0.495
O 0.237 0.742 0.005
O 0.238 0.248 0.990
O 0.242 0.752 0.490
O 0.758 0.248 0.510
O 0.762 0.752 0.010
O 0.763 0.258 0.995
O 0.763 0.767 0.505

=====

No. 2
A plane-wave DFT calculation with SCAN was carried out for a crystal of Cd2CoPtI relaxed with PBEsol.

DOS at the Fermi energy	3.39	states/eV per cell
ρ	8.96	Mg/m³
final energy	-36.43	eV/atom
magnetization	0.0	μB/f.u.

Unit cell a=5.030 b=5.030 c=4.438 alpha=90.00 beta=90.00 gamma=90.00
Fractional coordinates of all 5 atoms:
Cd 0.000 0.500 0.000
Cd 0.500 0.000 0.000
Co 0.000 0.000 0.000
Pt 0.000 0.000 0.500
I 0.500 0.500 0.500

=====

No. 3
A plane-wave DFT calculation with SCAN was carried out for a crystal of Re2PtCl relaxed with PBEsol.

DOS at the Fermi energy	5.73	states/eV per cell
ρ	16.26	Mg/m³
final energy	-54.57	eV/atom
energy relative to the lowest polymorph listed for this composition	0.00	eV/f.u.
magnetization	0.0	μB/f.u.

Unit cell a=2.811 b=4.799 c=9.128 alpha=90.00 beta=90.00 gamma=90.00
Fractional coordinates of all 8 atoms:
Re 0.000 0.000 0.000
Re 0.000 0.500 0.239
Re 0.500 0.000 0.239
Re 0.500 0.500 0.000
Pt 0.000 0.000 0.493
Pt 0.500 0.500 0.493
Cl 0.000 0.500 0.771
Cl 0.500 0.000 0.771